1.
This record from Alexandria via LeMat-Bulk describes a relaxed NiH2W crystal. The functional is PBE.

```
NiH2W
1.0
-1.9563 -1.9739 -0.4139
0.7376 -2.5223 -0.9942
0.2453 -3.0950 4.0639
Ni H W
1 2 1
Cartesian
-0.5941 -6.0263 2.9372
0.0992 -2.7370 3.0474
-0.2372 -1.9129 0.7069
-0.4826 -3.8056 1.3563
```

Magnetization ... 0.0 Bohr magnetons per cell
Total energy ... -6.1120 eV per atom
Mass density ... 12.25 g cm⁻³
SG ... No. 160

***

2.
This record from Alexandria via LeMat-Bulk describes a relaxed Ni2HW crystal. The functional is PBE.

```
Ni2HW
1.0
2.6947 0.0000 0.0000
1.3474 2.3337 0.0000
1.3474 0.7779 6.4393
Ni W H
2 1 1
Cartesian
4.0421 2.3337 5.3740
1.3474 0.7779 1.0654
2.6947 1.5558 3.2197
0.0000 0.0000 0.0000
```

Magnetization ... 0.0 Bohr magnetons per cell
Total energy ... -6.9063 eV per atom
Mass density ... 12.39 g cm⁻³
SG ... No. 166

***

3.
This record from Alexandria via LeMat-Bulk describes a relaxed NiH2W crystal. The functional is PBE.

```
NiH2W
1.0
2.7987 0.0000 0.0000
1.3994 2.4238 0.0000
1.3994 0.8079 4.9302
Ni W H
1 1 2
Cartesian
2.7987 1.6158 2.4651
0.0000 0.0000 0.0000
1.3994 0.8079 3.0636
4.1981 2.4238 1.8666
```

Magnetization ... 0.0 Bohr magnetons per cell
Total energy ... -6.1199 eV per atom
Mass density ... 12.14 g cm⁻³
SG ... No. 166

***

4.
This record from Alexandria via LeMat-Bulk describes a relaxed NiHW2 crystal. The functional is PBE.

```
NiHW2
1.0
-1.0597 -4.6626 3.3714
5.7402 -0.6213 0.9449
2.1549 -1.0090 4.3583
Ni W H
2 4 2
Cartesian
0.0000 0.0000 0.0000
1.7177 -4.1568 4.9439
0.6755 -2.8853 3.0554
3.9124 -1.5822 2.3610
3.8131 -2.7860 4.9601
5.2700 -5.3324 6.9728
2.3403 -2.6420 2.1581
5.1177 -2.1361 3.7307
```

Magnetization ... 0.0 Bohr magnetons per cell
Total energy ... -8.4023 eV per atom
Mass density ... 15.10 g cm⁻³
SG ... No. 122

***

5.
This record from Alexandria via LeMat-Bulk describes a relaxed Y2Ni4H crystal. The functional is PBE.

```
Y2Ni4H
1.0
3.8410 0.0000 0.0000
0.0000 3.8410 0.0000
1.9205 1.9205 6.9981
Y Ni H
2 4 1
Cartesian
3.8410 3.8410 4.7311
1.9205 1.9205 2.2669
3.8410 3.8410 1.6845
1.9205 1.9205 5.3136
0.0000 1.9205 0.0000
1.9205 0.0000 0.0000
0.0000 0.0000 0.0000
```

Magnetization ... 0.0 Bohr magnetons per cell
Total energy ... -5.9308 eV per atom
Mass density ... 6.65 g cm⁻³
SG ... No. 139

***

6.
This record from Alexandria via LeMat-Bulk describes a relaxed YNi3H6 crystal. The functional is PBE.

```
YNi3H6
1.0
1.6372 -3.2443 -2.7952
-0.7127 -0.9377 4.4308
-4.7935 1.2557 -0.5053
Y Ni H
1 3 6
Cartesian
-2.6270 -2.5417 1.4115
0.8118 -2.4884 -0.3961
0.0258 -1.7204 2.0120
-1.4629 -0.4529 -0.3312
-3.3429 -0.5783 0.5487
-1.3353 -0.9216 2.7255
0.2061 -2.3937 -2.0707
-3.7274 -0.9685 2.7815
-2.5283 -2.1420 -0.9109
-0.5714 -1.6794 0.3867
```

Magnetization ... 0.0 Bohr magnetons per cell
Total energy ... -4.6689 eV per atom
Mass density ... 5.86 g cm⁻³
SG ... No. 146

***

7.
This record from Alexandria via LeMat-Bulk describes a relaxed YNi6H8 crystal. The functional is PBE.

```
YNi6H8
1.0
-4.1134 1.4050 2.3093
0.3750 -4.4499 2.0698
3.1827 2.3191 2.9528
Y Ni H
1 6 8
Cartesian
0.0000 0.0000 0.0000
0.1222 1.0953 4.8743
0.7624 -1.6658 4.6495
-1.9497 -0.8207 4.5276
-0.6779 -1.8212 2.4575
-1.3181 0.9399 2.6823
1.3939 0.0948 2.8042
-0.3845 -0.5022 5.0727
-0.1712 -0.2237 2.2591
-1.5772 -2.2925 3.8421
-1.3236 1.6388 4.2506
1.9629 -0.5714 4.2809
1.0215 1.5666 3.4897
0.7678 -2.3648 3.0812
-2.5186 -0.1545 3.0509
```

Magnetization ... 0.0 Bohr magnetons per cell
Total energy ... -4.6767 eV per atom
Mass density ... 6.42 g cm⁻³
SG ... No. 148

***

8.
This record from Alexandria via LeMat-Bulk describes a relaxed Y2NiH4 crystal. The functional is PBE.

```
Y2NiH4
1.0
-1.6093 3.0863 -0.3932
-2.9461 -1.6539 -0.9243
-4.0283 0.5517 5.2155
Y Ni H
2 1 4
Cartesian
-2.8006 0.6670 1.0958
-5.7831 1.3170 2.8022
0.0000 0.0000 0.0000
-3.5037 0.6010 3.4553
-5.0800 1.3831 0.4427
-1.4731 -0.8270 -0.4621
-0.8046 1.5431 -0.1966
```

Magnetization ... 0.6 Bohr magnetons per cell
Total energy ... -5.0125 eV per atom
Mass density ... 5.31 g cm⁻³
SG ... No. 139

***

9.
This record from Alexandria via LeMat-Bulk describes a relaxed Y4Ni2H crystal. The functional is PBE.

```
Y4Ni2H
1.0
4.6022 0.0000 0.0000
0.0000 4.6022 0.0000
2.3011 2.3011 7.1226
Y Ni H
4 2 1
Cartesian
4.6022 4.6022 4.4015
2.3011 2.3011 2.7211
0.0000 2.3011 0.0000
2.3011 0.0000 0.0000
4.6022 4.6022 1.7577
2.3011 2.3011 5.3649
0.0000 0.0000 0.0000
```

Magnetization ... 0.0 Bohr magnetons per cell
Total energy ... -6.0481 eV per atom
Mass density ... 5.22 g cm⁻³
SG ... No. 139

***

10.
This record from Alexandria via LeMat-Bulk describes a relaxed YNi2H crystal. The functional is PBE.

```
YNi2H
1.0
0.0000 3.0458 3.0458
3.0458 0.0000 3.0458
3.0458 3.0458 0.0000
Y Ni H
1 2 1
Cartesian
3.0458 3.0458 3.0458
1.5229 1.5229 1.5229
4.5687 4.5687 4.5687
0.0000 0.0000 0.0000
```

Magnetization ... 0.0 Bohr magnetons per cell
Total energy ... -4.8823 eV per atom
Mass density ... 6.09 g cm⁻³
SG ... No. 225

***

11.
This record from Alexandria via LeMat-Bulk describes a relaxed Y2NiH2 crystal. The functional is PBE.

```
Y2NiH2
1.0
3.4756 0.0000 0.0000
0.0000 3.4756 0.0000
1.7378 1.7378 6.1990
Y Ni H
2 1 2
Cartesian
1.7378 1.7378 1.7042
3.4756 3.4756 4.4948
0.0000 0.0000 0.0000
3.4756 1.7378 3.0995
1.7378 3.4756 3.0995
```

Magnetization ... 0.0 Bohr magnetons per cell
Total energy ... -5.6061 eV per atom
Mass density ... 5.29 g cm⁻³
SG ... No. 139

***

12.
This record from Alexandria via LeMat-Bulk describes a relaxed YNi4H7 crystal. The functional is PBE.

```
YNi4H7
1.0
3.6100 0.0000 0.0000
0.0000 4.0732 0.0000
0.0000 0.0000 12.3326
Y Ni H
2 8 14
Cartesian
1.8516 3.0603 6.1663
0.0466 1.0129 0.0000
1.8516 2.9583 11.0000
0.0467 3.0972 3.1402
1.8516 0.9760 3.0261
0.0466 1.1149 7.4989
0.0466 1.1149 4.8337
1.8516 2.9583 1.3326
0.0467 3.0972 9.1924
1.8516 0.9760 9.3066
0.0465 3.0376 1.4373
1.8515 1.0356 4.7290
1.8515 1.3158 10.9087
0.0465 2.7575 7.5903
0.0465 2.7575 4.7424
1.8515 1.3158 1.4240
1.8516 3.2613 9.3323
0.0466 0.8120 9.1667
0.0466 0.8120 3.1660
1.8516 3.2613 3.0003
1.8515 3.8005 0.0000
0.0465 0.2727 6.1663
0.0465 3.0376 10.8953
1.8515 1.0356 7.6036
```

Magnetization ... 0.0 Bohr magnetons per cell
Total energy ... -4.6736 eV per atom
Mass density ... 6.06 g cm⁻³
SG ... No. 59

***

13.
This record from Alexandria via LeMat-Bulk describes a relaxed YNi2H7 crystal. The functional is PBE.

```
YNi2H7
1.0
-1.9354 -2.5265 -1.4178
-1.7416 -1.1529 4.4316
-2.2804 3.3152 -2.7946
Y Ni H
1 2 7
Cartesian
0.0000 0.0000 0.0000
-2.8764 -1.0305 1.4817
-3.0810 0.6664 -1.2626
-1.9128 0.2667 2.1357
-2.1092 1.8957 -0.4988
-1.7643 -0.2493 -1.4283
-4.1931 -0.1148 1.6474
-1.6132 -1.5019 0.5974
-4.3442 1.1377 -0.3783
-2.9787 -0.1821 0.1096
```

Magnetization ... 0.0 Bohr magnetons per cell
Total energy ... -4.3232 eV per atom
Mass density ... 4.92 g cm⁻³
SG ... No. 65

***

14.
This record from Alexandria via LeMat-Bulk describes a relaxed YNi3H crystal. The functional is PBE.

```
YNi3H
1.0
-0.1089 -3.6928 -1.2532
2.2725 -1.0789 2.9817
-3.1690 -0.6468 2.1812
Y Ni H
1 3 1
Cartesian
-0.5027 -2.7092 1.9549
1.1363 -0.5394 1.4909
-1.5845 -0.3234 1.0906
-0.0544 -1.8464 -0.6266
0.0000 0.0000 0.0000
```

Magnetization ... 0.0 Bohr magnetons per cell
Total energy ... -5.6559 eV per atom
Mass density ... 7.44 g cm⁻³
SG ... No. 221

***

15.
This record from Alexandria via LeMat-Bulk describes a relaxed YNi2H crystal. The functional is PBE.

```
YNi2H
1.0
5.2619 0.0000 0.0000
0.0000 5.2619 0.0000
2.6309 2.6309 3.7391
Y Ni H
2 4 2
Cartesian
0.0000 0.0000 0.0000
5.2619 2.6309 1.8696
2.6310 1.3155 0.9348
2.6309 3.9464 0.9348
3.9464 5.2618 2.8043
6.5773 5.2619 2.8043
2.6309 2.6309 0.0000
2.6309 5.2619 1.8696
```

Magnetization ... 0.0 Bohr magnetons per cell
Total energy ... -5.6493 eV per atom
Mass density ... 6.65 g cm⁻³
SG ... No. 141

***

16.
This record from Alexandria via LeMat-Bulk describes a relaxed YNiH crystal. The functional is PBE.

```
YNiH
1.0
3.5478 0.0000 0.0000
0.0000 3.7315 0.0000
0.0000 -1.8657 3.2315
Y Ni H
1 1 1
Cartesian
2.3644 0.0000 2.1544
0.5898 0.0000 0.0000
0.5936 1.8657 1.0772
```

Magnetization ... 0.0 Bohr magnetons per cell
Total energy ... -5.3447 eV per atom
Mass density ... 5.77 g cm⁻³
SG ... No. 187

***

17.
This record from Alexandria via LeMat-Bulk describes a relaxed YNi5H4 crystal. The functional is PBE.

```
YNi5H4
1.0
4.2826 0.0000 0.0000
0.0000 7.7953 0.0000
0.0000 0.0000 5.4777
Y Ni H
2 10 8
Cartesian
1.0360 0.0000 0.0000
3.2466 3.8976 2.7389
3.2459 1.3383 1.4266
3.2459 1.3383 4.0512
1.0052 0.0000 2.7389
3.2459 6.4569 1.4266
3.2459 6.4569 4.0512
1.0367 5.2359 1.3123
1.0367 5.2359 4.1654
3.2775 3.8976 0.0000
1.0367 2.5593 4.1654
1.0367 2.5593 1.3123
4.0425 2.1733 0.0000
2.3864 0.0000 1.7506
2.3864 0.0000 3.7271
4.0425 5.6219 0.0000
0.2402 6.0710 2.7389
1.8963 3.8976 0.9883
1.8963 3.8976 4.4895
0.2402 1.7243 2.7389
```

Magnetization ... 0.0 Bohr magnetons per cell
Total energy ... -5.0105 eV per atom
Mass density ... 7.02 g cm⁻³
SG ... No. 59

***

18.
This record from Alexandria via LeMat-Bulk describes a relaxed Y2NiH2 crystal. The functional is PBE.

```
Y2NiH2
1.0
-0.3221 1.0714 6.5999
-4.7546 -4.6825 0.5281
2.2453 -2.2267 0.4710
Y Ni H
4 2 4
Cartesian
-2.2036 -4.1296 1.8320
-2.9645 -4.1846 5.1986
-0.6278 -1.7082 5.7672
0.1331 -1.6532 2.4006
0.0000 0.0000 0.0000
-2.5383 -1.8055 3.5640
-4.3016 -3.7100 2.9660
-3.2355 -1.9657 6.1296
-0.7751 0.0990 4.1621
-1.8412 -1.6453 0.9984
```

Magnetization ... 0.0 Bohr magnetons per cell
Total energy ... -5.2685 eV per atom
Mass density ... 5.53 g cm⁻³
SG ... No. 127

***

19.
This record from Alexandria via LeMat-Bulk describes a relaxed Y3NiH crystal. The functional is PBE.

```
Y3NiH
1.0
-3.6419 2.9715 -0.0796
-0.7065 -0.7429 4.5879
2.8874 3.5662 1.0221
Y Ni H
3 1 1
Cartesian
-0.3532 -0.3715 2.2939
1.4437 1.7831 0.5111
-1.8209 1.4858 -0.0398
-0.7305 2.8974 2.7652
0.0000 0.0000 0.0000
```

Magnetization ... 1.3 Bohr magnetons per cell
Total energy ... -5.7245 eV per atom
Mass density ... 5.22 g cm⁻³
SG ... No. 221

***

20.
This record from Alexandria via LeMat-Bulk describes a relaxed YNi3H crystal. The functional is PBE.

```
YNi3H
1.0
-3.8710 -1.7785 2.2015
1.4635 -4.4506 -1.0222
2.4224 -0.1532 4.1356
Y Ni H
1 3 1
Cartesian
0.0000 0.0000 0.0000
0.7318 -2.2253 -0.5111
1.2112 -0.0766 2.0678
-1.9355 -0.8893 1.1008
0.0075 -3.1912 2.6575
```

Magnetization ... 0.0 Bohr magnetons per cell
Total energy ... -3.5386 eV per atom
Mass density ... 4.01 g cm⁻³
SG ... No. 221

***

21.
This record from Alexandria via LeMat-Bulk describes a relaxed YNi5H11 crystal. The functional is PBE.

```
YNi5H11
1.0
5.2124 0.8112 -1.1233
-2.1587 4.6436 -1.4172
0.0893 -0.5163 5.2874
Y Ni H
1 5 11
Cartesian
0.0000 0.0000 0.0000
3.2329 0.6329 1.0895
-0.0899 4.3056 1.6574
0.5734 2.7829 3.6359
2.5695 2.1555 -0.8890
-1.0347 2.0636 1.9351
0.5038 2.6924 1.9032
2.6392 2.2461 0.8437
3.2163 0.8052 2.8054
-0.0733 4.1332 -0.0586
1.2107 1.1861 3.7709
1.9323 3.7524 -1.0241
2.6062 0.4056 -0.5617
-1.5532 3.5880 1.6827
4.6962 1.3504 1.0641
4.0670 2.7945 -0.8123
-0.9240 2.1439 3.5592
```

Magnetization ... 0.0 Bohr magnetons per cell
Total energy ... -4.3574 eV per atom
Mass density ... 4.93 g cm⁻³
SG ... No. 12

***

22.
This record from Alexandria via LeMat-Bulk describes a relaxed YZnNi2H crystal. The functional is PBE.

```
YZnNi2H
1.0
3.7586 0.0000 0.0000
-1.8793 5.0808 0.0000
0.0000 0.0000 6.9987
Y Zn Ni H
2 2 4 2
Cartesian
0.0000 4.5031 5.2490
1.8793 0.5777 1.7497
1.8793 2.2788 5.2490
0.0000 2.8020 1.7497
0.0000 1.5942 6.6072
1.8793 3.4866 0.3915
0.0000 1.5942 3.8908
1.8793 3.4866 3.1079
0.0000 0.0000 0.0000
0.0000 0.0000 3.4993
```

Magnetization ... 0.0 Bohr magnetons per cell
Total energy ... -4.9082 eV per atom
Mass density ... 6.78 g cm⁻³
SG ... No. 63

***

23.
This record from Alexandria via LeMat-Bulk describes a relaxed YZr2NiH crystal. The functional is PBE.

```
YZr2NiH
1.0
-1.5111 -2.9223 -2.7086
4.0612 -2.6505 0.5939
-1.8246 -2.0677 3.2489
Y Ni Zr H
1 1 2 1
Cartesian
2.0306 -1.3252 0.2969
0.3628 -3.8203 0.5671
-0.9123 -1.0339 1.6244
-0.7556 -1.4612 -1.3543
0.0000 0.0000 0.0000
```

Magnetization ... 0.0 Bohr magnetons per cell
Total energy ... -6.5861 eV per atom
Mass density ... 6.20 g cm⁻³
SG ... No. 123

***

24.
This record from Alexandria via LeMat-Bulk describes a relaxed YbNiH3 crystal. The functional is PBE.

```
YbNiH3
1.0
3.5195 0.0000 0.0000
0.0000 3.5195 0.0000
0.0000 0.0000 3.5195
Yb Ni H
1 1 3
Cartesian
1.7597 1.7597 1.7597
0.0000 0.0000 0.0000
0.0000 0.0000 1.7597
0.0000 1.7597 0.0000
1.7597 0.0000 0.0000
```

Magnetization ... 0.1 Bohr magnetons per cell
Total energy ... -3.9767 eV per atom
Mass density ... 8.94 g cm⁻³
SG ... No. 221